[1]
Below is a geometry-optimized BiB2Te structure, with properties calculated at the GGA-PBEsol level.

Structure (extended XYZ):
```
4
Lattice="0.0000 3.2562 3.2562 3.2562 0.0000 3.2562 3.2562 3.2562 0.0000" Properties=species:S:1:pos:R:3 pbc="T T T"
Bi 0.0000 0.0000 0.0000
B 1.6281 1.6281 1.6281
B 4.8844 4.8844 4.8844
Te 3.2562 3.2562 3.2562
```

Values from the calculation:
- V (A^3/atom) = 17.263
- ΔE_f (raw) (eV/atom) = 1.570
- magnetization (μB/f.u.) = 0.0
- total energy (eV/atom) = -3.891


[2]
Below is a geometry-optimized PbSeBr2 structure, with properties calculated at the GGA-PBEsol level.

Structure (extended XYZ):
```
4
Lattice="2.0418 1.1788 8.8744 -2.0418 1.1788 8.8744 0.0000 -2.3577 8.8744" Properties=species:S:1:pos:R:3 pbc="T T T"
Pb 0.0000 0.0000 0.0000
Se 0.0000 0.0000 13.3116
Br 0.0000 0.0000 7.0130
Br 0.0000 0.0000 19.6101
```

Values from the calculation:
- V (A^3/atom) = 32.041
- ΔE_f (raw) (eV/atom) = -0.036
- energy above the lowest structure with this stoichiometry (meV/atom) = 21
- magnetization (μB/f.u.) = 2.0
- total energy (eV/atom) = -2.934


[3]
Below is a geometry-optimized P4RhSe structure, with properties calculated at the GGA-PBEsol level.

Structure (extended XYZ):
```
6
Lattice="0.0000 3.5451 3.5451 3.5451 0.0000 3.5451 3.5451 3.5451 0.0000" Properties=species:S:1:pos:R:3 pbc="T T T"
P 0.8817 0.8817 0.8817
P 2.6634 2.6634 0.8817
P 2.6634 0.8817 2.6634
P 0.8817 2.6634 2.6634
Rh 3.5451 3.5451 3.5451
Se 5.3177 5.3177 5.3177
```

Values from the calculation:
- V (A^3/atom) = 14.852
- ΔE_f (raw) (eV/atom) = 0.732
- magnetization (μB/f.u.) = 0.0
- total energy (eV/atom) = -5.127


[4]
Below is a geometry-optimized Ho6Al43Mo4 structure, with properties calculated at the GGA-PBEsol level.

Structure (extended XYZ):
```
106
Lattice="10.9008 0.0000 0.0000 -5.4504 9.4404 0.0000 0.0000 0.0000 17.5820" Properties=species:S:1:pos:R:3 pbc="T T T"
Ho -2.5527 4.4214 1.6721
Ho -2.5527 4.4214 7.1189
Ho -2.8977 5.0189 10.4631
Ho -2.8977 5.0189 15.9099
Ho 5.1054 0.0000 1.6721
Ho 5.1054 0.0000 7.1189
Ho 2.5527 4.4214 10.4631
Ho 2.5527 4.4214 15.9099
Ho 5.7954 0.0000 10.4631
Ho 5.7954 0.0000 15.9099
Ho 2.8977 5.0189 1.6721
Ho 2.8977 5.0189 7.1189
Al -0.8028 1.3905 13.1865
Al -0.8675 1.5025 2.0200
Al -0.8675 1.5025 6.7710
Al -1.3853 2.3994 9.3177
Al -1.3853 2.3994 17.0553
Al -4.0651 7.0410 0.5267
Al -4.0651 7.0410 8.2643
Al -4.5829 7.9379 10.8110
Al -4.5829 7.9379 15.5620
Al -4.6476 8.0498 4.3955
Al 1.6056 0.0000 13.1865
Al 0.8028 1.3905 4.3955
Al -1.3955 5.2049 4.3955
Al -1.6406 5.6294 13.1865
Al -0.4326 3.7173 11.6682
Al -0.4326 3.7173 14.7048
Al -2.4475 7.2071 2.8772
Al -2.4475 7.2071 5.9138
Al 1.7350 0.0000 2.0200
Al 1.7350 0.0000 6.7710
Al 0.8675 1.5025 10.8110
Al 0.8675 1.5025 15.5620
Al 0.4326 3.7173 2.8772
Al 0.4326 3.7173 5.9138
Al -2.0148 7.9564 11.6682
Al -2.0148 7.9564 14.7048
Al 0.0000 4.6632 0.0000
Al 0.0000 4.6632 8.7910
Al -1.4119 7.1088 0.0000
Al -1.4119 7.1088 8.7910
Al 2.7706 0.0000 9.3177
Al 2.7706 0.0000 17.0553
Al 1.3853 2.3994 0.5267
Al 1.3853 2.3994 8.2643
Al 0.0000 6.2936 2.2045
Al 0.0000 6.2936 6.5865
Al 0.0000 6.2936 10.9955
Al 0.0000 6.2936 15.3775
Al 3.4356 1.4840 11.6682
Al 3.4356 1.4840 14.7048
Al 3.0029 2.2333 2.8772
Al 3.0029 2.2333 5.9138
Al 1.3955 5.2049 13.1865
Al -0.2451 8.0465 4.3955
Al 1.6406 5.6294 4.3955
Al 0.2451 8.0465 13.1865
Al 4.0385 2.3316 0.0000
Al 4.0385 2.3316 8.7910
Al 1.4119 7.1088 0.0000
Al 1.4119 7.1088 8.7910
Al 5.2053 1.3939 4.3955
Al 3.8098 3.8110 13.1865
Al 5.6955 1.3939 13.1865
Al 4.0549 4.2355 4.3955
Al 2.4475 7.2071 11.6682
Al 2.4475 7.2071 14.7048
Al 2.0148 7.9564 2.8772
Al 2.0148 7.9564 5.9138
Al 5.4504 3.1468 2.2045
Al 5.4504 3.1468 6.5865
Al 5.4504 3.1468 10.9955
Al 5.4504 3.1468 15.3775
Al 8.1302 0.0000 0.5267
Al 8.1302 0.0000 8.2643
Al 4.0651 7.0410 9.3177
Al 4.0651 7.0410 17.0553
Al 6.8623 2.3316 0.0000
Al 6.8623 2.3316 8.7910
Al 5.4504 4.7771 0.0000
Al 5.4504 4.7771 8.7910
Al 7.4652 1.4840 2.8772
Al 7.4652 1.4840 5.9138
Al 5.0178 5.7231 11.6682
Al 5.0178 5.7231 14.7048
Al 9.1659 0.0000 10.8110
Al 9.1659 0.0000 15.5620
Al 4.5829 7.9379 2.0200
Al 4.5829 7.9379 6.7710
Al 7.8979 2.2333 11.6682
Al 7.8979 2.2333 14.7048
Al 5.8830 5.7231 2.8772
Al 5.8830 5.7231 5.9138
Al 7.0910 3.8110 4.3955
Al 6.8459 4.2355 13.1865
Al 9.2952 0.0000 4.3955
Al 4.6476 8.0498 13.1865
Mo 0.0000 0.0000 0.0000
Mo 0.0000 0.0000 8.7910
Mo -1.4784 2.5607 4.3955
Mo -3.9720 6.8797 13.1865
Mo 2.9568 0.0000 4.3955
Mo 1.4784 2.5607 13.1865
Mo 7.9440 0.0000 13.1865
Mo 3.9720 6.8797 4.3955
```

Values from the calculation:
- V (A^3/atom) = 17.069
- ΔE_f (meV per atom) = -312
- magnetization (μB/f.u.) = 0.0
- total energy (eV/atom) = -5.080


[5]
Below is a geometry-optimized CoPOs2 structure, with properties calculated at the GGA-PBEsol level.

Structure (extended XYZ):
```
4
Lattice="-1.8241 1.8241 3.7097 1.8241 -1.8241 3.7097 1.8241 1.8241 -3.7097" Properties=species:S:1:pos:R:3 pbc="T T T"
Co 0.0000 0.0000 0.0000
P 1.8241 0.0000 1.8548
Os 0.0000 0.0000 3.7097
Os 0.0000 1.8241 1.8548
```

Values from the calculation:
- V (A^3/atom) = 12.343
- ΔE_f (meV per atom) = 220
- magnetization (μB/f.u.) = 0.0
- total energy (eV/atom) = -9.270


[6]
Below is a geometry-optimized Sr2MgBr structure, with properties calculated at the GGA-PBEsol level.

Structure (extended XYZ):
```
4
Lattice="0.0000 4.2338 4.2338 4.2338 0.0000 4.2338 4.2338 4.2338 0.0000" Properties=species:S:1:pos:R:3 pbc="T T T"
Sr 0.0000 0.0000 0.0000
Sr 2.1169 2.1169 2.1169
Mg 6.3507 6.3507 6.3507
Br 4.2338 4.2338 4.2338
```

Values from the calculation:
- V (A^3/atom) = 37.945
- ΔE_f (raw) (eV/atom) = -0.151
- energy above the lowest structure with this stoichiometry (meV/atom) = 469
- magnetization (μB/f.u.) = 0.0
- total energy (eV/atom) = -1.968